Compound: SrIn2Mo
Source: the Alexandria database
Functional: PBE
Structure: relaxed

```
data_SrIn2Mo
_cell_length_a 3.3161
_cell_length_b 3.3161
_cell_length_c 31.1961
_cell_angle_alpha 90.00
_cell_angle_beta 90.00
_cell_angle_gamma 120.00
_space_group_name_H-M_alt 'R 3 m'
_space_group_IT_number 160
_space_group_name_Hall 'R 3 -2"'
loop_
_atom_site_label
_atom_site_fract_x
_atom_site_fract_y
_atom_site_fract_z
Sr1 0.0000 0.0000 0.0000
In1 0.0000 0.0000 0.2370
In2 0.0000 0.0000 0.4866
Mo1 0.0000 0.0000 0.7494
```

## Properties
- offset from the most stable computed form (eV per atom) = 0.402
- electronic total energy (eV per atom) = -3.908
- ΔH_f (0 K) (meV/atom) = 589.1